CdSbCl2: relaxed, PBE.

Cell and atoms, written as POSCAR:
```
CdSbCl2
1.0
-3.747 -1.739 1.602
-1.661 -0.400 -4.320
1.840 -4.254 -0.314
Sb Cl Cd
1 2 1
direct
0.500 0.500 0.000
0.000 0.000 0.000
0.000 0.500 0.500
0.500 0.000 0.500
```

Calculated values
* DOS(E_F): 3.00 states/eV/cell
* energy above the lowest structure with this stoichiometry: 0.407 eV/atom
* M_tot: 0.0 μB/f.u.
* E_form (uncorrected): -0.096 eV per atom